VASP calculation (GGA-PBE) on a geometry-optimized MgZrFe3 structure.

## Properties
Space-group type: No. 221
VASP energy in eV per cell: -29.17
DFT formation energy in eV/atom: 1.27

Cell and atoms, written as POSCAR:
```
MgZrFe3
1.0
4.638 0.000 0.000
0.000 4.638 0.000
0.000 0.000 4.638
Mg Zr Fe
1 1 3
direct
0.000 0.000 0.000 Mg
0.500 0.500 0.500 Zr
0.000 0.500 0.500 Fe
0.500 0.000 0.500 Fe
0.500 0.500 0.000 Fe
```



VASP calculation (GGA-PBE) on a geometry-optimized MgZrFe3 structure.

## Properties
Space-group type: No. 221
VASP energy in eV per cell: -29.82
DFT formation energy in eV/atom: 1.14

Cell and atoms, written as POSCAR:
```
MgZrFe3
1.0
4.406 0.000 0.000
0.000 4.406 0.000
0.000 0.000 4.406
Mg Zr Fe
1 1 3
direct
0.000 0.000 0.000 Mg
0.500 0.500 0.500 Zr
0.000 0.000 0.500 Fe
0.000 0.500 0.000 Fe
0.500 0.000 0.000 Fe
```



VASP calculation (GGA-PBE) on a geometry-optimized Mg4ZrFe structure.

## Properties
Space-group type: No. 216
VASP energy in eV per cell: -21.03
DFT formation energy in eV/atom: 0.39

Cell and atoms, written as POSCAR:
```
Mg4ZrFe
1.0
0.000 3.937 3.937
3.937 0.000 3.937
3.937 3.937 0.000
Mg Zr Fe
4 1 1
direct
0.125 0.125 0.125 Mg
0.125 0.125 0.624 Mg
0.125 0.624 0.125 Mg
0.624 0.125 0.125 Mg
0.750 0.750 0.750 Zr
0.500 0.500 0.500 Fe
```



VASP calculation (GGA-PBE) on a geometry-optimized MgZr4Fe structure.

## Properties
Space-group type: No. 216
VASP energy in eV per cell: -41.03
DFT formation energy in eV/atom: 0.54

Cell and atoms, written as POSCAR:
```
MgZr4Fe
1.0
0.000 4.062 4.062
4.062 0.000 4.062
4.062 4.062 0.000
Mg Zr Fe
1 4 1
direct
0.000 0.000 0.000 Mg
0.127 0.624 0.624 Zr
0.624 0.127 0.624 Zr
0.624 0.624 0.127 Zr
0.624 0.624 0.624 Zr
0.250 0.250 0.250 Fe
```



VASP calculation (GGA-PBE) on a geometry-optimized MgZrFe structure.

## Properties
Space-group type: No. 107
VASP energy in eV per cell: -18.46
DFT formation energy in eV/atom: 0.05

Cell and atoms, written as POSCAR:
```
MgZrFe
1.0
-1.590 1.590 5.356
1.590 -1.590 5.356
1.590 1.590 -5.356
Mg Zr Fe
1 1 1
direct
0.000 0.000 0.000 Mg
0.277 0.277 0.000 Zr
0.654 0.654 0.000 Fe
```



VASP calculation (GGA-PBE) on a geometry-optimized MgZrFe structure.

## Properties
Space-group type: No. 63
VASP energy in eV per cell: -37.29
DFT formation energy in eV/atom: -0.01

Cell and atoms, written as POSCAR:
```
MgZrFe
1.0
1.556 -7.442 0.000
1.556 7.442 0.000
0.000 0.000 4.603
Mg Zr Fe
2 2 2
direct
0.215 0.785 0.750 Mg
0.785 0.215 0.250 Mg
0.076 0.924 0.250 Zr
0.924 0.076 0.750 Zr
0.436 0.564 0.250 Fe
0.564 0.436 0.750 Fe
```



VASP calculation (GGA-PBE) on a geometry-optimized MgZr3Fe8 structure.

## Properties
Space-group type: No. 160
VASP energy in eV per cell: -97.64
DFT formation energy in eV/atom: -0.23

Cell and atoms, written as POSCAR:
```
MgZr3Fe8
1.0
2.471 1.427 8.064
-2.471 1.427 8.064
0.000 -2.853 8.064
Mg Zr Fe
1 3 8
direct
0.000 0.000 0.000 Mg
0.372 0.372 0.372 Zr
0.498 0.498 0.498 Zr
0.877 0.877 0.877 Zr
0.187 0.187 0.187 Fe
0.436 0.937 0.937 Fe
0.437 0.437 0.935 Fe
0.437 0.935 0.437 Fe
0.686 0.686 0.686 Fe
0.935 0.437 0.437 Fe
0.937 0.436 0.937 Fe
0.937 0.937 0.436 Fe
```



VASP calculation (GGA-PBE) on a geometry-optimized MnFe2 structure.

## Properties
Space-group type: No. 63
VASP energy in eV per cell: -51.96
DFT formation energy in eV/atom: 0.04

Cell and atoms, written as POSCAR:
```
MnFe2
1.0
1.234 -6.426 0.000
1.234 6.426 0.000
0.000 0.000 3.925
Mn Fe
2 4
direct
0.112 0.888 0.750 Mn
0.888 0.112 0.250 Mn
0.222 0.778 0.250 Fe
0.444 0.556 0.750 Fe
0.556 0.444 0.250 Fe
0.778 0.222 0.750 Fe
```



VASP calculation (GGA-PBE) on a geometry-optimized Mn2Fe structure.

## Properties
Space-group type: No. 164
VASP energy in eV per cell: -26.51
DFT formation energy in eV/atom: 0.10

Cell and atoms, written as POSCAR:
```
Mn2Fe
1.0
2.469 0.000 0.000
-1.234 2.138 0.000
0.000 0.000 6.071
Mn Fe
2 1
direct
0.333 0.667 0.336 Mn
0.667 0.333 0.664 Mn
0.000 0.000 0.000 Fe
```



VASP calculation (GGA-PBE) on a geometry-optimized Mn2Fe structure.

## Properties
Space-group type: No. 63
VASP energy in eV per cell: -53.10
DFT formation energy in eV/atom: 0.08

Cell and atoms, written as POSCAR:
```
Mn2Fe
1.0
1.753 -5.288 0.000
1.753 5.288 0.000
0.000 0.000 3.506
Mn Fe
4 2
direct
0.083 0.917 0.750 Mn
0.250 0.750 0.250 Mn
0.750 0.250 0.750 Mn
0.917 0.083 0.250 Mn
0.419 0.581 0.750 Fe
0.581 0.419 0.250 Fe
```



VASP calculation (GGA-PBE) on a geometry-optimized Mn2Fe structure.

## Properties
Space-group type: No. 63
VASP energy in eV per cell: -53.33
DFT formation energy in eV/atom: 0.05

Cell and atoms, written as POSCAR:
```
Mn2Fe
1.0
1.237 -6.465 0.000
1.237 6.465 0.000
0.000 0.000 3.950
Mn Fe
4 2
direct
0.055 0.945 0.750 Mn
0.387 0.613 0.750 Mn
0.613 0.387 0.250 Mn
0.945 0.055 0.250 Mn
0.277 0.723 0.250 Fe
0.723 0.277 0.750 Fe
```



VASP calculation (GGA-PBE) on a geometry-optimized Mn2Fe13 structure.

## Properties
Space-group type: No. 2
VASP energy in eV per cell: -125.14
DFT formation energy in eV/atom: 0.21

Cell and atoms, written as POSCAR:
```
Mn2Fe13
1.0
5.019 0.000 0.000
1.108 6.228 0.000
1.572 2.834 5.642
Mn Fe
2 13
direct
0.168 0.461 0.329 Mn
0.832 0.539 0.671 Mn
0.000 0.000 0.500 Fe
0.063 0.710 0.931 Fe
0.196 0.113 0.790 Fe
0.300 0.527 0.628 Fe
0.305 0.884 0.217 Fe
0.427 0.320 0.005 Fe
0.480 0.824 0.627 Fe
0.520 0.176 0.373 Fe
0.573 0.680 0.995 Fe
0.695 0.116 0.783 Fe
0.700 0.473 0.372 Fe
0.804 0.887 0.210 Fe
0.937 0.290 0.069 Fe
```



VASP calculation (GGA-PBE) on a geometry-optimized Mn2Fe structure.

## Properties
Space-group type: No. 227
VASP energy in eV per cell: -52.35
DFT formation energy in eV/atom: 0.21

Cell and atoms, written as POSCAR:
```
Mn2Fe
1.0
0.000 3.236 3.236
3.236 0.000 3.236
3.236 3.236 0.000
Mn Fe
4 2
direct
0.000 0.000 0.000 Mn
0.000 0.000 0.500 Mn
0.000 0.500 0.000 Mn
0.500 0.000 0.000 Mn
0.375 0.375 0.375 Fe
0.625 0.625 0.625 Fe
```



VASP calculation (GGA-PBE) on a geometry-optimized Mn2Fe structure.

## Properties
Space-group type: No. 205
VASP energy in eV per cell: -96.32
DFT formation energy in eV/atom: 0.91

Cell and atoms, written as POSCAR:
```
Mn2Fe
1.0
5.353 0.000 0.000
0.000 5.353 0.000
0.000 0.000 5.353
Mn Fe
8 4
direct
0.125 0.125 0.125 Mn
0.125 0.375 0.625 Mn
0.375 0.625 0.125 Mn
0.375 0.875 0.625 Mn
0.625 0.125 0.375 Mn
0.625 0.375 0.875 Mn
0.875 0.625 0.375 Mn
0.875 0.875 0.875 Mn
0.000 0.000 0.500 Fe
0.000 0.500 0.000 Fe
0.500 0.000 0.000 Fe
0.500 0.500 0.500 Fe
```



VASP calculation (GGA-PBE) on a geometry-optimized Mn3Fe structure.

## Properties
Space-group type: No. 139
VASP energy in eV per cell: -35.85
DFT formation energy in eV/atom: 0.03

Cell and atoms, written as POSCAR:
```
Mn3Fe
1.0
-1.782 1.782 3.511
1.782 -1.782 3.511
1.782 1.782 -3.511
Mn Fe
3 1
direct
0.000 0.000 0.000 Mn
0.250 0.750 0.500 Mn
0.750 0.250 0.500 Mn
0.500 0.500 0.000 Fe
```



VASP calculation (GGA-PBE) on a geometry-optimized MnFe2 structure.

## Properties
Space-group type: No. 141
VASP energy in eV per cell: -103.40
DFT formation energy in eV/atom: 0.08

Cell and atoms, written as POSCAR:
```
MnFe2
1.0
-1.741 1.741 10.949
1.741 -1.741 10.949
1.741 1.741 -10.949
Mn Fe
4 8
direct
0.295 0.545 0.750 Mn
0.455 0.705 0.750 Mn
0.545 0.295 0.250 Mn
0.705 0.455 0.250 Mn
0.043 0.793 0.250 Fe
0.125 0.375 0.750 Fe
0.207 0.957 0.250 Fe
0.375 0.125 0.250 Fe
0.625 0.875 0.750 Fe
0.793 0.043 0.750 Fe
0.875 0.625 0.250 Fe
0.957 0.207 0.750 Fe
```



VASP calculation (GGA-PBE) on a geometry-optimized MnFe2 structure.

## Properties
Space-group type: No. 189
VASP energy in eV per cell: -77.25
DFT formation energy in eV/atom: 0.12

Cell and atoms, written as POSCAR:
```
MnFe2
1.0
6.652 0.000 0.000
-3.326 5.761 0.000
0.000 0.000 2.462
Mn Fe
3 6
direct
0.000 0.000 0.000 Mn
0.333 0.667 0.500 Mn
0.667 0.333 0.500 Mn
0.000 0.303 0.500 Fe
0.000 0.641 0.000 Fe
0.303 0.000 0.500 Fe
0.359 0.359 0.000 Fe
0.641 0.000 0.000 Fe
0.697 0.697 0.500 Fe
```



VASP calculation (GGA-PBE) on a geometry-optimized Mn5Fe2 structure.

## Properties
Space-group type: No. 15
VASP energy in eV per cell: -125.11
DFT formation energy in eV/atom: 0.03

Cell and atoms, written as POSCAR:
```
Mn5Fe2
1.0
5.440 -2.145 0.000
5.440 2.145 0.000
-0.483 0.000 6.324
Mn Fe
10 4
direct
0.027 0.693 0.039 Mn
0.116 0.450 0.676 Mn
0.165 0.835 0.750 Mn
0.307 0.973 0.461 Mn
0.450 0.116 0.176 Mn
0.550 0.884 0.824 Mn
0.693 0.027 0.539 Mn
0.835 0.165 0.250 Mn
0.884 0.550 0.324 Mn
0.973 0.307 0.961 Mn
0.262 0.595 0.393 Fe
0.405 0.738 0.107 Fe
0.595 0.262 0.893 Fe
0.738 0.405 0.607 Fe
```



VASP calculation (GGA-PBE) on a geometry-optimized MnFe2 structure.

## Properties
Space-group type: No. 194
VASP energy in eV per cell: -51.43
DFT formation energy in eV/atom: 0.13

Cell and atoms, written as POSCAR:
```
MnFe2
1.0
3.956 0.000 0.000
-1.978 3.426 0.000
0.000 0.000 4.895
Mn Fe
2 4
direct
0.333 0.667 0.250 Mn
0.667 0.333 0.750 Mn
0.000 0.000 0.000 Fe
0.000 0.000 0.500 Fe
0.333 0.667 0.750 Fe
0.667 0.333 0.250 Fe
```



VASP calculation (GGA-PBE) on a geometry-optimized Mn6Fe7 structure.

## Properties
Space-group type: No. 166
VASP energy in eV per cell: -113.21
DFT formation energy in eV/atom: 0.08

Cell and atoms, written as POSCAR:
```
Mn6Fe7
1.0
2.315 1.337 8.243
-2.315 1.337 8.243
0.000 -2.673 8.243
Mn Fe
6 7
direct
0.045 0.045 0.045 Mn
0.149 0.149 0.149 Mn
0.334 0.334 0.334 Mn
0.666 0.666 0.666 Mn
0.851 0.851 0.851 Mn
0.955 0.955 0.955 Mn
0.083 0.588 0.588 Fe
0.412 0.412 0.917 Fe
0.412 0.917 0.412 Fe
0.500 0.500 0.500 Fe
0.588 0.083 0.588 Fe
0.588 0.588 0.083 Fe
0.917 0.412 0.412 Fe
```



VASP calculation (GGA-PBE) on a geometry-optimized Mn3Fe structure.

## Properties
Space-group type: No. 123
VASP energy in eV per cell: -35.57
DFT formation energy in eV/atom: 0.10

Cell and atoms, written as POSCAR:
```
Mn3Fe
1.0
2.911 0.000 0.000
0.000 2.911 0.000
0.000 0.000 5.517
Mn Fe
3 1
direct
0.000 0.000 0.000 Mn
0.500 0.500 0.251 Mn
0.500 0.500 0.749 Mn
0.000 0.000 0.500 Fe
```



VASP calculation (GGA-PBE) on a geometry-optimized MnFe2 structure.

## Properties
Space-group type: No. 63
VASP energy in eV per cell: -51.92
DFT formation energy in eV/atom: 0.04

Cell and atoms, written as POSCAR:
```
MnFe2
1.0
3.709 -2.142 0.000
3.709 2.142 0.000
0.000 0.000 3.909
Mn Fe
2 4
direct
0.168 0.832 0.750 Mn
0.832 0.168 0.250 Mn
0.167 0.498 0.250 Fe
0.498 0.167 0.750 Fe
0.502 0.833 0.250 Fe
0.833 0.502 0.750 Fe
```



VASP calculation (GGA-PBE) on a geometry-optimized Mn3Fe structure.

## Properties
Space-group type: No. 223
VASP energy in eV per cell: -71.20
DFT formation energy in eV/atom: 0.09

Cell and atoms, written as POSCAR:
```
Mn3Fe
1.0
4.431 0.000 0.000
0.000 4.431 0.000
0.000 0.000 4.431
Mn Fe
6 2
direct
0.000 0.250 0.500 Mn
0.000 0.750 0.500 Mn
0.250 0.500 0.000 Mn
0.500 0.000 0.250 Mn
0.500 0.000 0.750 Mn
0.750 0.500 0.000 Mn
0.000 0.000 0.000 Fe
0.500 0.500 0.500 Fe
```



VASP calculation (GGA-PBE) on a geometry-optimized Mn3Fe13 structure.

## Properties
Space-group type: No. 38
VASP energy in eV per cell: -135.98
DFT formation energy in eV/atom: 0.10

Cell and atoms, written as POSCAR:
```
Mn3Fe13
1.0
7.107 0.000 0.000
0.000 3.521 3.583
0.000 -3.521 3.583
Mn Fe
3 13
direct
0.000 0.000 0.000 Mn
0.255 0.268 0.268 Mn
0.745 0.268 0.268 Mn
0.000 0.012 0.500 Fe
0.000 0.500 0.012 Fe
0.000 0.508 0.508 Fe
0.241 0.764 0.764 Fe
0.247 0.265 0.766 Fe
0.247 0.766 0.265 Fe
0.500 0.008 0.522 Fe
0.500 0.018 0.018 Fe
0.500 0.510 0.510 Fe
0.500 0.522 0.008 Fe
0.753 0.265 0.766 Fe
0.753 0.766 0.265 Fe
0.759 0.764 0.764 Fe
```



VASP calculation (GGA-PBE) on a geometry-optimized Mn2Fe structure.

## Properties
Space-group type: No. 15
VASP energy in eV per cell: -53.40
DFT formation energy in eV/atom: 0.03

Cell and atoms, written as POSCAR:
```
Mn2Fe
1.0
3.718 -2.146 0.000
3.718 2.146 0.000
-2.474 0.000 3.955
Mn Fe
4 2
direct
0.081 0.249 0.239 Mn
0.249 0.081 0.739 Mn
0.751 0.919 0.261 Mn
0.919 0.751 0.761 Mn
0.420 0.580 0.250 Fe
0.580 0.420 0.750 Fe
```